Material: Rb3Ge2Br7
Method: DFT, PBE
State: relaxed

Computed properties:
Relative energy among the computed polymorphs (kJ/mol of formula units): 43
Symmetry: Cmmm, No. 65

a = 5.510 Å, b = 5.604 Å, c = 14.500 Å
α = 101.14°, β = 90.00°, γ = 90.00°
Fractional coordinates of all 12 atoms:
Ge 0.000 0.898 0.796
Ge 0.000 0.102 0.204
Br 0.000 0.000 0.000
Br 0.500 0.099 0.198
Br 0.000 0.198 0.395
Br 0.500 0.901 0.802
Br 0.000 0.802 0.605
Br 0.000 0.598 0.196
Br 0.000 0.402 0.804
Rb 0.500 0.321 0.643
Rb 0.500 0.500 0.000
Rb 0.500 0.679 0.357



Material: Rb2Ge2Br5
Method: DFT, PBE
State: relaxed

Computed properties:
Relative energy among the computed polymorphs (kJ/mol of formula units): 0
Symmetry: Amm2, No. 38
Fermi-level density of states (states/eV/atom): 0.32

a = 5.801 Å, b = 5.801 Å, c = 9.052 Å
α = 90.00°, β = 90.00°, γ = 89.45°
Fractional coordinates of all 9 atoms:
Ge 0.512 0.512 0.185
Ge 0.512 0.512 0.815
Br 0.068 0.534 0.221
Br 0.560 0.560 0.500
Br 0.068 0.534 0.779
Br 0.534 0.068 0.779
Br 0.534 0.068 0.221
Rb 0.031 0.031 0.000
Rb 0.017 0.017 0.500



Material: RbGeBr2
Method: DFT, PBE
State: relaxed

Computed properties:
Relative energy among the computed polymorphs (kJ/mol of formula units): 63
Symmetry: R-3m, No. 166
Fermi-level density of states (states/eV/atom): 0.52

a = 9.819 Å, b = 9.819 Å, c = 9.819 Å
α = 26.68°, β = 26.68°, γ = 26.68°
Fractional coordinates of all 4 atoms:
Br 0.118 0.118 0.118
Br 0.882 0.882 0.882
Rb 0.000 0.000 0.000
Ge 0.500 0.500 0.500



Material: Rb2GeBr4
Method: DFT, PBE
State: relaxed

Computed properties:
Relative energy among the computed polymorphs (kJ/mol of formula units): 6
Symmetry: P2_1/m, No. 11
Fermi-level density of states (states/eV/atom): 0.00

a = 7.940 Å, b = 7.327 Å, c = 10.601 Å
α = 90.00°, β = 116.15°, γ = 90.00°
Fractional coordinates of all 14 atoms:
Br 0.432 0.501 0.254
Br 0.568 0.001 0.746
Br 0.906 0.250 0.609
Br 0.432 0.999 0.254
Br 0.568 0.499 0.746
Br 0.801 0.250 0.103
Br 0.094 0.750 0.391
Br 0.199 0.750 0.897
Ge 0.192 0.750 0.158
Ge 0.808 0.250 0.842
Rb 0.197 0.250 0.434
Rb 0.683 0.750 0.080
Rb 0.317 0.250 0.920
Rb 0.803 0.750 0.566



Material: Rb4GeBr5
Method: DFT, PBE
State: relaxed

Computed properties:
Symmetry: I4, No. 79
Fermi-level density of states (states/eV/atom): 0.12

a = 7.094 Å, b = 8.312 Å, c = 8.312 Å
α = 79.51°, β = 64.74°, γ = 64.74°
Fractional coordinates of all 10 atoms:
Rb 0.208 0.200 0.387
Rb 0.408 0.387 0.800
Rb 0.596 0.613 0.200
Rb 0.796 0.800 0.613
Br 0.271 0.817 0.644
Br 0.915 0.356 0.817
Br 0.732 0.183 0.356
Br 0.087 0.644 0.183
Br 0.498 0.000 0.000
Ge 0.000 0.000 0.000



Material: Rb2GeBr2
Method: DFT, PBE
State: relaxed

Computed properties:
Relative energy among the computed polymorphs (kJ/mol of formula units): 54
Symmetry: I4/mmm, No. 139
Fermi-level density of states (states/eV/atom): 3.04

a = 6.638 Å, b = 6.638 Å, c = 7.905 Å
α = 65.17°, β = 65.17°, γ = 90.00°
Fractional coordinates of all 5 atoms:
Br 0.250 0.750 0.500
Br 0.750 0.250 0.500
Ge 0.000 0.000 0.000
Rb 0.702 0.702 0.596
Rb 0.298 0.298 0.404



Material: Rb5GeBr8
Method: DFT, PBE
State: relaxed

Computed properties:
Symmetry: I-4, No. 82
Fermi-level density of states (states/eV/atom): 0.24

a = 9.555 Å, b = 9.555 Å, c = 9.555 Å
α = 115.23°, β = 98.48°, γ = 115.23°
Fractional coordinates of all 14 atoms:
Rb 0.821 0.825 0.236
Rb 0.004 0.415 0.179
Rb 0.500 0.000 0.500
Rb 0.764 0.585 0.589
Rb 0.411 0.175 0.996
Br 0.106 0.821 0.498
Br 0.142 0.702 0.868
Br 0.678 0.179 0.285
Br 0.132 0.274 0.834
Br 0.559 0.726 0.858
Br 0.502 0.608 0.322
Br 0.715 0.392 0.894
Br 0.166 0.298 0.441
Ge 0.250 0.500 0.750



Material: RbGeBr4
Method: DFT, PBE
State: relaxed

Computed properties:
Symmetry: P2_1/m, No. 11
Fermi-level density of states (states/eV/atom): 0.13

a = 7.014 Å, b = 9.120 Å, c = 11.434 Å
α = 90.00°, β = 90.00°, γ = 130.44°
Fractional coordinates of all 12 atoms:
Ge 0.007 0.818 0.250
Ge 0.993 0.182 0.750
Br 0.005 0.645 0.421
Br 0.360 0.196 0.750
Br 0.374 0.170 0.250
Br 0.005 0.645 0.079
Br 0.995 0.355 0.921
Br 0.626 0.830 0.750
Br 0.640 0.804 0.250
Br 0.995 0.355 0.579
Rb 0.992 0.683 0.750
Rb 0.008 0.317 0.250



Material: Rb2GeBr7
Method: DFT, PBE
State: relaxed

Computed properties:
Symmetry: I4/mmm, No. 139
Fermi-level density of states (states/eV/atom): 0.54

a = 8.152 Å, b = 8.152 Å, c = 7.941 Å
α = 59.12°, β = 59.12°, γ = 90.00°
Fractional coordinates of all 10 atoms:
Br 0.736 0.736 0.528
Br 0.721 0.721 0.000
Br 0.721 0.279 0.000
Br 0.279 0.279 0.000
Br 0.264 0.264 0.472
Br 0.000 0.000 0.000
Br 0.279 0.721 0.000
Rb 0.250 0.750 0.500
Rb 0.750 0.250 0.500
Ge 0.500 0.500 0.000



Material: Rb2GeBr2
Method: DFT, PBE
State: relaxed

Computed properties:
Relative energy among the computed polymorphs (kJ/mol of formula units): 0
Symmetry: P4/mbm, No. 127
Fermi-level density of states (states/eV/atom): 1.21

a = 9.696 Å, b = 9.696 Å, c = 4.161 Å
α = 90.00°, β = 90.00°, γ = 90.00°
Fractional coordinates of all 10 atoms:
Ge 0.500 0.500 0.000
Ge 0.000 0.000 0.000
Br 0.345 0.155 0.500
Br 0.655 0.845 0.500
Br 0.845 0.345 0.500
Br 0.155 0.655 0.500
Rb 0.144 0.356 0.000
Rb 0.856 0.644 0.000
Rb 0.644 0.144 0.000
Rb 0.356 0.856 0.000



Material: RbGe3Br7
Method: DFT, PBE
State: relaxed

Computed properties:
Symmetry: C2/m, No. 12
Fermi-level density of states (states/eV/atom): 0.00

a = 7.579 Å, b = 7.102 Å, c = 7.579 Å
α = 93.33°, β = 79.35°, γ = 93.33°
Fractional coordinates of all 11 atoms:
Ge 0.000 0.500 0.000
Ge 0.797 0.000 0.203
Ge 0.203 0.000 0.797
Br 0.068 0.305 0.663
Br 0.663 0.305 0.068
Br 0.500 0.000 0.500
Br 0.862 0.824 0.862
Br 0.337 0.695 0.932
Br 0.138 0.176 0.138
Br 0.932 0.695 0.337
Rb 0.500 0.500 0.500



Material: RbGeBr2
Method: DFT, PBE
State: relaxed

Computed properties:
Relative energy among the computed polymorphs (kJ/mol of formula units): 0
Symmetry: I-42d, No. 122
Fermi-level density of states (states/eV/atom): 0.00

a = 6.471 Å, b = 6.471 Å, c = 9.659 Å
α = 70.43°, β = 70.43°, γ = 90.00°
Fractional coordinates of all 8 atoms:
Br 0.543 0.125 0.250
Br 0.875 0.793 0.750
Br 0.375 0.457 0.750
Br 0.207 0.625 0.250
Rb 0.750 0.250 0.500
Rb 0.000 0.000 0.000
Ge 0.250 0.750 0.500
Ge 0.500 0.500 0.000



Material: RbGe5Br11
Method: DFT, PBE
State: relaxed

Computed properties:
Symmetry: C2/m, No. 12
Fermi-level density of states (states/eV/atom): 0.00

a = 8.994 Å, b = 8.817 Å, c = 8.817 Å
α = 112.46°, β = 101.06°, γ = 101.06°
Fractional coordinates of all 17 atoms:
Ge 0.347 0.926 0.630
Ge 0.000 0.500 0.500
Ge 0.347 0.630 0.926
Ge 0.653 0.074 0.370
Ge 0.653 0.370 0.074
Br 0.036 0.584 0.846
Br 0.340 0.592 0.592
Br 0.683 0.694 0.143
Br 0.500 0.000 0.000
Br 0.964 0.154 0.416
Br 0.317 0.857 0.306
Br 0.036 0.846 0.584
Br 0.683 0.143 0.694
Br 0.317 0.306 0.857
Br 0.660 0.408 0.408
Br 0.964 0.416 0.154
Rb 0.000 0.000 0.000



Material: RbReGeBr2
Method: DFT, PBE
State: relaxed

Computed properties:
Symmetry: P4/mmm, No. 123
Fermi-level density of states (states/eV/atom): 0.26

a = 6.081 Å, b = 6.505 Å, c = 6.081 Å
α = 90.00°, β = 90.00°, γ = 90.00°
Fractional coordinates of all 5 atoms:
Ge 0.500 0.500 0.500
Re 0.000 0.500 0.000
Rb 0.000 0.000 0.000
Br 0.000 0.000 0.500
Br 0.500 0.000 0.000



Material: RbGeRh2Br
Method: DFT, PBE
State: relaxed

Computed properties:
Symmetry: P4/mmm, No. 123
Fermi-level density of states (states/eV/atom): 1.33

a = 4.701 Å, b = 6.290 Å, c = 4.701 Å
α = 90.00°, β = 90.00°, γ = 90.00°
Fractional coordinates of all 5 atoms:
Br 0.000 0.500 0.000
Ge 0.000 0.000 0.000
Rh 0.000 0.000 0.500
Rh 0.500 0.000 0.000
Rb 0.500 0.500 0.500



Material: RbGe2SbBr
Method: DFT, PBE
State: relaxed

Computed properties:
Symmetry: P4/mmm, No. 123
Fermi-level density of states (states/eV/atom): 0.83

a = 5.446 Å, b = 5.761 Å, c = 5.446 Å
α = 90.00°, β = 90.00°, γ = 90.00°
Fractional coordinates of all 5 atoms:
Sb 0.000 0.500 0.000
Ge 0.500 0.000 0.000
Ge 0.000 0.000 0.500
Rb 0.500 0.500 0.500
Br 0.000 0.000 0.000



Material: RbGe2SbBr8
Method: DFT, PBE
State: relaxed

Computed properties:
Symmetry: P-1, No. 2
Fermi-level density of states (states/eV/atom): 0.00

a = 7.383 Å, b = 6.823 Å, c = 9.792 Å
α = 92.26°, β = 88.40°, γ = 83.60°
Fractional coordinates of all 12 atoms:
Br 0.633 0.730 0.419
Br 0.367 0.270 0.581
Br 0.696 0.771 0.023
Br 0.861 0.270 0.216
Br 0.139 0.730 0.784
Br 0.304 0.229 0.977
Br 0.194 0.782 0.196
Br 0.806 0.218 0.804
Ge 0.561 0.560 0.207
Ge 0.439 0.440 0.793
Rb 0.000 0.000 0.500
Sb 0.000 0.000 0.000



Material: Rb2ScGeBr6
Method: DFT, PBE
State: relaxed

Computed properties:
Symmetry: I4/mmm, No. 139
Fermi-level density of states (states/eV/atom): 0.02

a = 7.720 Å, b = 7.720 Å, c = 8.226 Å
α = 62.01°, β = 62.01°, γ = 90.00°
Fractional coordinates of all 10 atoms:
Rb 0.250 0.750 0.500
Rb 0.750 0.250 0.500
Br 0.717 0.717 0.567
Br 0.745 0.255 0.000
Br 0.283 0.283 0.433
Br 0.255 0.745 0.000
Br 0.255 0.255 0.000
Br 0.745 0.745 0.000
Sc 0.500 0.500 0.000
Ge 0.000 0.000 0.000



Material: RbGeSeBr2
Method: DFT, PBE
State: relaxed

Computed properties:
Relative energy among the computed polymorphs (kJ/mol of formula units): 0
Symmetry: P4/mmm, No. 123
Fermi-level density of states (states/eV/atom): 1.27

a = 5.603 Å, b = 5.603 Å, c = 5.086 Å
α = 90.00°, β = 90.00°, γ = 90.00°
Fractional coordinates of all 5 atoms:
Rb 0.500 0.500 0.500
Se 0.000 0.000 0.500
Ge 0.000 0.000 0.000
Br 0.500 0.000 0.000
Br 0.000 0.500 0.000



Material: RbGeSe2Br
Method: DFT, PBE
State: relaxed

Computed properties:
Relative energy among the computed polymorphs (kJ/mol of formula units): 637
Symmetry: P4/mmm, No. 123
Fermi-level density of states (states/eV/atom): 1.26

a = 6.079 Å, b = 6.079 Å, c = 6.038 Å
α = 90.00°, β = 90.00°, γ = 90.00°
Fractional coordinates of all 5 atoms:
Se 0.000 0.500 0.000
Se 0.500 0.000 0.000
Ge 0.500 0.500 0.500
Br 0.000 0.000 0.500
Rb 0.000 0.000 0.000



Sequential spin magnetization output: 0.00 0.00 0.00 0.00 0.25 2.00 0.96 0.00 0.00 4.00 0.00 2.00 0.00 4.00 1.63 0.00 0.00 1.00 0.30 2.02 μB per cell
Sequential energy relative to the elements, uncorrected output: -1.15 -0.96 -0.47 -1.24 -1.29 -0.57 -1.31 -0.92 -0.86 -0.68 -0.73 -0.64 -0.66 1.50 0.15 0.58 -0.75 -1.31 -0.74 0.81 eV per atom
Sequential V output: 439 305 168 554 401 280 654 557 363 391 400 356 606 241 139 171 490 367 160 223 Å³/cell